Computed, not measured: an optimized crystal structure of Dy5CoBi2 at the PBE level of DFT.

Cell: 4.449 8.101 12.364 Å, 90.00 90.00 90.00°
Fractional positions:
Dy: 0.000 0.000 0.500
Dy: 0.000 0.500 0.000
Dy: 0.000 0.866 0.190
Dy: 0.000 0.134 0.810
Dy: 0.000 0.634 0.690
Dy: 0.000 0.366 0.310
Dy: 0.500 0.678 0.440
Dy: 0.500 0.322 0.560
Dy: 0.500 0.822 0.940
Dy: 0.500 0.178 0.060
Co: 0.000 0.500 0.500
Co: 0.000 0.000 0.000
Bi: 0.500 0.571 0.175
Bi: 0.500 0.429 0.825
Bi: 0.500 0.929 0.675
Bi: 0.500 0.071 0.325

Computed properties:
Space-group type   Pbam
ρ   9.61 Mg/m³
Formation enthalpy at 0 K   -426.0 kJ/mol of formula units

Computed, not measured: an optimized crystal structure of Dy2CoBi at the PBE level of DFT.

Cell: 4.039 6.229 8.403 Å, 110.32 90.00 90.00°
Fractional positions:
Dy: 0.750 0.261 0.459
Dy: 0.250 0.739 0.541
Dy: 0.750 0.659 0.884
Dy: 0.250 0.341 0.116
Co: 0.750 0.618 0.295
Co: 0.250 0.382 0.705
Bi: 0.750 0.123 0.794
Bi: 0.250 0.877 0.206

Computed properties:
Space-group type   P2_1/m
ρ   9.93 Mg/m³
Formation enthalpy at 0 K   -176.0 kJ/mol of formula units

Computed, not measured: an optimized crystal structure of Dy5CoBi2 at the PBE level of DFT.

Cell: 8.031 8.850 12.428 Å, 90.00 90.00 90.00°
Fractional positions:
Dy: 0.848 0.750 0.801
Dy: 0.152 0.250 0.199
Dy: 0.348 0.250 0.699
Dy: 0.652 0.750 0.301
Dy: 0.385 0.750 0.689
Dy: 0.615 0.250 0.311
Dy: 0.885 0.250 0.811
Dy: 0.115 0.750 0.189
Dy: 0.950 0.750 0.502
Dy: 0.050 0.250 0.498
Dy: 0.450 0.250 0.998
Dy: 0.550 0.750 0.002
Dy: 0.676 0.038 0.563
Dy: 0.324 0.962 0.437
Dy: 0.176 0.962 0.937
Dy: 0.324 0.538 0.437
Dy: 0.824 0.038 0.063
Dy: 0.676 0.462 0.563
Dy: 0.824 0.462 0.063
Dy: 0.176 0.538 0.937
Co: 0.568 0.750 0.509
Co: 0.432 0.250 0.491
Co: 0.068 0.250 0.991
Co: 0.932 0.750 0.009
Bi: 0.572 0.491 0.826
Bi: 0.428 0.509 0.174
Bi: 0.072 0.509 0.674
Bi: 0.428 0.991 0.174
Bi: 0.928 0.491 0.326
Bi: 0.572 0.009 0.826
Bi: 0.928 0.009 0.326
Bi: 0.072 0.991 0.674

Computed properties:
Space-group type   Pnma
ρ   9.70 Mg/m³
Formation enthalpy at 0 K   -429.6 kJ/mol of formula units

Computed, not measured: an optimized crystal structure of Dy3CoBi2 at the PBE level of DFT.

Cell: 3.563 6.106 8.534 Å, 110.96 90.00 90.00°
Fractional positions:
Dy: 0.500 0.883 0.766
Dy: 0.500 0.117 0.234
Dy: 0.000 0.500 0.000
Co: 0.000 0.000 0.000
Bi: 0.500 0.326 0.651
Bi: 0.500 0.674 0.349

Computed properties:
Space-group type   Cmmm
ρ   9.24 Mg/m³
Formation enthalpy at 0 K   -168.7 kJ/mol of formula units

Computed, not measured: an optimized crystal structure of Dy3CoBi at the PBE level of DFT.

Cell: 4.308 8.008 8.422 Å, 114.95 90.00 90.00°
Fractional positions:
Dy: 0.750 0.679 0.410
Dy: 0.250 0.321 0.590
Dy: 0.750 0.328 0.912
Dy: 0.250 0.962 0.753
Dy: 0.250 0.672 0.088
Dy: 0.750 0.038 0.247
Co: 0.250 0.934 0.416
Co: 0.750 0.066 0.584
Bi: 0.250 0.323 0.200
Bi: 0.750 0.677 0.800

Computed properties:
Space-group type   P2_1/m
ρ   9.52 Mg/m³
Formation enthalpy at 0 K   -215.3 kJ/mol of formula units

Computed, not measured: an optimized crystal structure of Dy5CoBi4 at the PBE level of DFT.

Cell: 6.288 7.563 7.563 Å, 80.05 65.44 65.44°
Fractional positions:
Dy: 0.925 0.371 0.817
Dy: 0.296 0.817 0.629
Dy: 0.743 0.183 0.371
Dy: 0.114 0.629 0.183
Dy: 0.383 0.000 0.000
Co: 0.961 0.000 0.000
Bi: 0.433 0.386 0.791
Bi: 0.820 0.791 0.614
Bi: 0.225 0.209 0.386
Bi: 0.611 0.614 0.209

Computed properties:
Space-group type   I4
ρ   9.53 Mg/m³
Formation enthalpy at 0 K   -538.4 kJ/mol of formula units

Computed, not measured: an optimized crystal structure of Dy2CoBi at the PBE level of DFT.

Cell: 3.737 3.737 9.743 Å, 78.94 78.94 60.00°
Fractional positions:
Co: 0.500 0.500 0.500
Bi: 0.000 0.000 0.000
Dy: 0.114 0.114 0.659
Dy: 0.886 0.886 0.341

Computed properties:
Space-group type   R-3m
ρ   8.57 Mg/m³
Formation enthalpy at 0 K   -38.4 kJ/mol of formula units

Computed, not measured: an optimized crystal structure of Dy6Co2Bi at the PBE level of DFT.

Cell: 8.443 8.443 8.443 Å, 106.93 109.52 112.00°
Fractional positions:
Dy: 0.530 0.714 0.816
Dy: 0.470 0.286 0.184
Dy: 0.102 0.286 0.816
Dy: 0.898 0.714 0.184
Dy: 0.788 0.765 0.553
Dy: 0.212 0.235 0.447
Dy: 0.212 0.765 0.977
Dy: 0.788 0.235 0.023
Dy: 0.683 0.359 0.676
Dy: 0.317 0.641 0.324
Dy: 0.317 0.993 0.676
Dy: 0.683 0.007 0.324
Co: 0.500 0.388 0.888
Co: 0.500 0.612 0.112
Co: 0.654 0.000 0.654
Co: 0.346 0.000 0.346
Bi: 0.000 0.500 0.500
Bi: 0.000 0.000 0.000

Computed properties:
Space-group type   Immm
ρ   9.35 Mg/m³
Formation enthalpy at 0 K   -269.2 kJ/mol of formula units

Computed, not measured: an optimized crystal structure of Dy3CoBi at the PBE level of DFT.

Cell: 5.165 5.165 5.165 Å, 90.00 90.00 90.00°
Fractional positions:
Co: 0.000 0.000 0.000
Bi: 0.500 0.500 0.500
Dy: 0.000 0.500 0.000
Dy: 0.000 0.000 0.500
Dy: 0.500 0.000 0.000

Computed properties:
Space-group type   Pm-3m
ρ   9.10 Mg/m³
Formation enthalpy at 0 K   -173.4 kJ/mol of formula units

Computed, not measured: an optimized crystal structure of Dy12Co6Bi at the PBE level of DFT.

Cell: 8.405 8.405 8.405 Å, 109.47 109.47 109.47°
Fractional positions:
Dy: 0.306 0.110 0.804
Dy: 0.306 0.503 0.196
Dy: 0.694 0.497 0.804
Dy: 0.694 0.890 0.196
Dy: 0.110 0.804 0.306
Dy: 0.503 0.196 0.306
Dy: 0.497 0.804 0.694
Dy: 0.890 0.196 0.694
Dy: 0.804 0.306 0.110
Dy: 0.196 0.306 0.503
Dy: 0.804 0.694 0.497
Dy: 0.196 0.694 0.890
Co: 0.387 0.500 0.887
Co: 0.613 0.500 0.113
Co: 0.500 0.887 0.387
Co: 0.500 0.113 0.613
Co: 0.887 0.387 0.500
Co: 0.113 0.613 0.500
Bi: 0.000 0.000 0.000

Computed properties:
Space-group type   Im-3
ρ   9.13 Mg/m³
Formation enthalpy at 0 K   -532.0 kJ/mol of formula units

Computed, not measured: an optimized crystal structure of Dy5CoBi2 at the PBE level of DFT.

Cell: 5.466 8.403 14.182 Å, 90.00 90.00 108.98°
Fractional positions:
Dy: 0.947 0.893 0.876
Dy: 0.947 0.893 0.624
Dy: 0.273 0.545 0.390
Dy: 0.273 0.545 0.110
Dy: 0.691 0.383 0.250
Dy: 0.309 0.617 0.750
Dy: 0.727 0.455 0.610
Dy: 0.727 0.455 0.890
Dy: 0.053 0.107 0.124
Dy: 0.053 0.107 0.376
Co: 0.832 0.665 0.750
Co: 0.168 0.335 0.250
Bi: 0.858 0.715 0.426
Bi: 0.858 0.715 0.074
Bi: 0.142 0.285 0.574
Bi: 0.142 0.285 0.926

Computed properties:
Space-group type   Cmcm
ρ   6.95 Mg/m³
Formation enthalpy at 0 K   -110.6 kJ/mol of formula units

Computed, not measured: an optimized crystal structure of Er2CoBi at the PBE level of DFT.

Cell: 4.024 6.189 8.280 Å, 110.16 90.00 90.00°
Fractional positions:
Er: 0.750 0.264 0.458
Er: 0.250 0.736 0.542
Er: 0.750 0.656 0.884
Er: 0.250 0.344 0.116
Co: 0.750 0.619 0.294
Co: 0.250 0.381 0.706
Bi: 0.750 0.119 0.793
Bi: 0.250 0.881 0.207

Computed properties:
Space-group type   P2_1/m
ρ   10.33 Mg/m³
Formation enthalpy at 0 K   -175.7 kJ/mol of formula units